Record 1
Below is an optimized crystal structure of PmSm6Dy3Th2, with properties calculated at the GGA-PBE level.

a = 6.2434 Å, b = 10.7980 Å, c = 11.9520 Å
α = 90.00°, β = 100.02°, γ = 90.00°
With the nearest neighbours (Å) after each atom.
Space group C2/m (No. 12)
Unique sites:
Pm (0.0000, 0.0000, 0.0000)  6 Th 3.60, 6 Sm 3.61
Sm (0.2453, 0.5000, 0.2491)  6 Sm 3.58-3.65, 2 Th 3.59, 3 Dy 3.60-3.62, 1 Pm 3.61
Sm (0.2480, 0.3311, 0.7513)  6 Sm 3.58-3.65, 2 Th 3.58, 3 Dy 3.60-3.63, 1 Pm 3.61
Dy (0.0000, 0.1666, 0.5000)  6 Dy 3.60, 6 Sm 3.60-3.63
Dy (0.0000, 0.5000, 0.5000)  6 Sm 3.60-3.62, 6 Dy 3.60
Th (0.0000, 0.3334, 0.0000)  6 Sm 3.58-3.59, 3 Th 3.60, 3 Pm 3.60

* formation enthalpy at 0 K: 0.4 eV/f.u.



Record 2
Below is an optimized crystal structure of Pm6SmDy2Th, with properties calculated at the GGA-PBE level.

a = 9.3364 Å, b = 15.0114 Å, c = 9.7821 Å
α = 90.00°, β = 98.13°, γ = 90.00°
With the nearest neighbours (Å) after each atom.
Space group C2/c (No. 15)
Unique sites:
Pm (0.0671, 0.1759, 0.4421)  7 Pm 3.46-3.85, 2 Dy 3.50-3.79, 2 Th 3.62-3.85
Pm (0.0948, 0.3932, 0.6195)  4 Pm 3.31-3.69, 3 Dy 3.31-3.49, 2 Sm 3.45-3.60
Pm (0.2043, 0.2199, 0.8152)  1 Pm 3.31, 1 Th 3.45, 1 Dy 3.47, 1 Sm 3.47
Sm (0.0000, 0.4053, 0.2500)  6 Pm 3.45-3.60, 2 Dy 3.56
Dy (0.2429, 0.0454, 0.0503)  5 Pm 3.31-3.50, 2 Th 3.39-3.46, 1 Sm 3.56
Th (0.0000, 0.0293, 0.7500)  4 Dy 3.39-3.46, 4 Pm 3.45-3.62

* formation enthalpy at 0 K: 1.4 eV/f.u.



Record 3
Below is an optimized crystal structure of PmSmDyTh, with properties calculated at the GGA-PBE level.

a = 3.5975 Å, b = 3.5975 Å, c = 10.2150 Å
α = 90.00°, β = 90.00°, γ = 90.00°
With the nearest neighbours (Å) after each atom.
Space group P4mm (No. 99)
Unique sites:
Pm (0.0000, 0.0000, 0.0000)  4 Pm 3.60, 4 Dy 3.64, 4 Sm 3.70
Sm (0.5000, 0.5000, 0.7368)  4 Th 3.55, 4 Sm 3.60, 4 Pm 3.70
Dy (0.5000, 0.5000, 0.2555)  4 Th 3.52, 4 Dy 3.60, 4 Pm 3.64
Th (0.0000, 0.0000, 0.4938)  4 Dy 3.52, 4 Sm 3.55, 4 Th 3.60

* E above lowest polymorph: 0 meV/atom
* formation enthalpy at 0 K: 0.1 eV/f.u.



Record 4
Below is an optimized crystal structure of Pm4Sm2DyTh, with properties calculated at the GGA-PBE level.

a = 6.0626 Å, b = 6.0693 Å, c = 7.2988 Å
α = 90.00°, β = 90.08°, γ = 90.00°
With the nearest neighbours (Å) after each atom.
Space group P2/m (No. 10)
Unique sites:
Pm (0.0001, 0.0000, 0.2465)  4 Sm 3.52-3.55, 2 Th 3.53, 2 Dy 3.55, 2 Pm 3.60-3.70
Pm (0.4996, 0.5000, 0.2466)  2 Th 3.52-3.53, 4 Sm 3.53-3.55, 2 Dy 3.55, 2 Pm 3.60-3.70
Sm (0.0000, 0.5000, 0.5000)  8 Pm 3.55, 2 Th 3.65
Sm (0.5000, 0.0000, 0.0000)  8 Pm 3.52-3.53, 2 Dy 3.65
Dy (0.5000, 0.0000, 0.5000)  8 Pm 3.55, 2 Sm 3.65
Th (0.0000, 0.5000, 0.0000)  8 Pm 3.52-3.53, 2 Sm 3.65

* formation enthalpy at 0 K: 1.1 eV/f.u.



Record 5
Below is an optimized crystal structure of Pm2Sm5DyTh, with properties calculated at the GGA-PBE level.

a = 5.6934 Å, b = 20.5114 Å, c = 10.5567 Å
α = 90.00°, β = 90.00°, γ = 90.00°
With the nearest neighbours (Å) after each atom.
Space group Cmc2_1 (No. 36)
Unique sites:
Pm (0.0000, 0.1151, 0.0000)  8 Sm 3.29-3.60, 1 Th 3.63
Pm (0.0000, 0.1148, 0.4155)  1 Th 3.42, 7 Sm 3.49-3.73, 2 Dy 3.72
Sm (0.0000, 0.0153, 0.7027)  2 Dy 3.34, 3 Pm 3.42-3.66, 2 Sm 3.70
Sm (0.0000, 0.2753, 0.9984)  1 Dy 3.07, 1 Pm 3.29, 2 Sm 3.40
Sm (0.0000, 0.2958, 0.3888)  3 Sm 3.40-3.81, 1 Dy 3.48, 2 Th 3.50, 3 Pm 3.58-3.72
Sm (0.0000, 0.3872, 0.7088)  6 Sm 3.55-3.87, 4 Pm 3.59-3.60, 1 Th 3.87
Sm (0.0000, 0.4804, 0.4259)  2 Dy 3.23-3.39, 2 Pm 3.54, 2 Sm 3.55
Dy (0.0000, 0.4066, 0.1387)  5 Sm 3.07-3.39
Th (0.0000, 0.1984, 0.6962)  2 Pm 3.42-3.63, 7 Sm 3.50-3.81, 2 Dy 3.62

* formation enthalpy at 0 K: 1.4 eV/f.u.



Record 6
Below is an optimized crystal structure of PmSm4Dy2Th, with properties calculated at the GGA-PBE level.

a = 5.0912 Å, b = 5.0912 Å, c = 10.2201 Å
α = 90.00°, β = 90.00°, γ = 90.00°
With the nearest neighbours (Å) after each atom.
Space group P4/mmm (No. 123)
Unique sites:
Pm (0.0000, 0.0000, 0.0000)  4 Dy 3.60, 8 Sm 3.64
Sm (0.0000, 0.5000, 0.2540)  2 Th 3.58, 4 Dy 3.58-3.64, 4 Sm 3.60, 2 Pm 3.64
Dy (0.0000, 0.0000, 0.5000)  8 Sm 3.58, 4 Th 3.60
Dy (0.5000, 0.5000, 0.0000)  4 Pm 3.60, 8 Sm 3.64
Th (0.5000, 0.5000, 0.5000)  8 Sm 3.58, 4 Dy 3.60

* formation enthalpy at 0 K: 0.3 eV/f.u.



Copy entry 2 word for word.
Below is an optimized crystal structure of Pm6SmDy2Th, with properties calculated at the GGA-PBE level.

a = 9.3364 Å, b = 15.0114 Å, c = 9.7821 Å
α = 90.00°, β = 98.13°, γ = 90.00°
With the nearest neighbours (Å) after each atom.
Space group C2/c (No. 15)
Unique sites:
Pm (0.0671, 0.1759, 0.4421)  7 Pm 3.46-3.85, 2 Dy 3.50-3.79, 2 Th 3.62-3.85
Pm (0.0948, 0.3932, 0.6195)  4 Pm 3.31-3.69, 3 Dy 3.31-3.49, 2 Sm 3.45-3.60
Pm (0.2043, 0.2199, 0.8152)  1 Pm 3.31, 1 Th 3.45, 1 Dy 3.47, 1 Sm 3.47
Sm (0.0000, 0.4053, 0.2500)  6 Pm 3.45-3.60, 2 Dy 3.56
Dy (0.2429, 0.0454, 0.0503)  5 Pm 3.31-3.50, 2 Th 3.39-3.46, 1 Sm 3.56
Th (0.0000, 0.0293, 0.7500)  4 Dy 3.39-3.46, 4 Pm 3.45-3.62

* formation enthalpy at 0 K: 1.4 eV/f.u.



Q: The lowest formation enthalpy at 0 K belongs to which entry?
A: PmSmDyTh